<i>
YMgIrPb | GGA-PBE | relaxed

The structure in CIF format:
```
data_YMgIrPb
_space_group_name_H-M_alt 'P 1'
_space_group_IT_number 1
_space_group_name_Hall 'P 1'
_cell_length_a 4.887
_cell_length_b 4.887
_cell_length_c 4.887
_cell_angle_alpha 60.00
_cell_angle_beta 60.00
_cell_angle_gamma 60.00
loop_
_atom_site_label
_atom_site_type_symbol
_atom_site_fract_x
_atom_site_fract_y
_atom_site_fract_z
Mg1 Mg 0.750 0.750 0.750
Pb1 Pb 0.250 0.250 0.250
Y1 Y 0.000 0.000 0.000
Ir1 Ir 0.500 0.500 0.500
```


<ii>
YMgIrPb | GGA-PBE | relaxed

The structure in CIF format:
```
data_YMgIrPb
_space_group_name_H-M_alt 'P 1'
_space_group_IT_number 1
_space_group_name_Hall 'P 1'
_cell_length_a 4.891
_cell_length_b 4.891
_cell_length_c 4.891
_cell_angle_alpha 60.00
_cell_angle_beta 60.00
_cell_angle_gamma 60.00
loop_
_atom_site_label
_atom_site_type_symbol
_atom_site_fract_x
_atom_site_fract_y
_atom_site_fract_z
Ir1 Ir 0.250 0.250 0.250
Pb1 Pb 0.500 0.500 0.500
Mg1 Mg 0.750 0.750 0.750
Y1 Y 0.000 0.000 0.000
```


<iii>
YMgIrPb | GGA-PBE | relaxed

The structure in CIF format:
```
data_YMgIrPb
_space_group_name_H-M_alt 'P 1'
_space_group_IT_number 1
_space_group_name_Hall 'P 1'
_cell_length_a 4.958
_cell_length_b 4.958
_cell_length_c 4.958
_cell_angle_alpha 60.00
_cell_angle_beta 60.00
_cell_angle_gamma 60.00
loop_
_atom_site_label
_atom_site_type_symbol
_atom_site_fract_x
_atom_site_fract_y
_atom_site_fract_z
Ir1 Ir 0.000 0.000 0.000
Mg1 Mg 0.750 0.750 0.750
Y1 Y 0.250 0.250 0.250
Pb1 Pb 0.500 0.500 0.500
```


It comes down to <iii>, which is 15 meV/atom more stable than the next structure.


<i>
RbMgTeIr | GGA-PBE | relaxed

The structure in CIF format:
```
data_RbMgTeIr
_space_group_name_H-M_alt 'P 1'
_space_group_IT_number 1
_space_group_name_Hall 'P 1'
_cell_length_a 5.204
_cell_length_b 5.204
_cell_length_c 5.204
_cell_angle_alpha 60.00
_cell_angle_beta 60.00
_cell_angle_gamma 60.00
loop_
_atom_site_label
_atom_site_type_symbol
_atom_site_fract_x
_atom_site_fract_y
_atom_site_fract_z
Te1 Te 0.000 0.000 0.000
Mg1 Mg 0.750 0.750 0.750
Ir1 Ir 0.500 0.500 0.500
Rb1 Rb 0.250 0.250 0.250
```


<ii>
RbMgTeIr | GGA-PBE | relaxed

The structure in CIF format:
```
data_RbMgTeIr
_space_group_name_H-M_alt 'P 1'
_space_group_IT_number 1
_space_group_name_Hall 'P 1'
_cell_length_a 5.051
_cell_length_b 5.051
_cell_length_c 5.051
_cell_angle_alpha 60.00
_cell_angle_beta 60.00
_cell_angle_gamma 60.00
loop_
_atom_site_label
_atom_site_type_symbol
_atom_site_fract_x
_atom_site_fract_y
_atom_site_fract_z
Rb1 Rb 0.500 0.500 0.500
Te1 Te 0.250 0.250 0.250
Mg1 Mg 0.750 0.750 0.750
Ir1 Ir 0.000 0.000 0.000
```


<iii>
RbMgTeIr | GGA-PBE | relaxed

The structure in CIF format:
```
data_RbMgTeIr
_space_group_name_H-M_alt 'P 1'
_space_group_IT_number 1
_space_group_name_Hall 'P 1'
_cell_length_a 5.082
_cell_length_b 5.082
_cell_length_c 5.082
_cell_angle_alpha 60.00
_cell_angle_beta 60.00
_cell_angle_gamma 60.00
loop_
_atom_site_label
_atom_site_type_symbol
_atom_site_fract_x
_atom_site_fract_y
_atom_site_fract_z
Mg1 Mg 0.750 0.750 0.750
Rb1 Rb 0.500 0.500 0.500
Te1 Te 0.000 0.000 0.000
Ir1 Ir 0.250 0.250 0.250
```


It comes down to <ii>, which is 195 meV/atom more stable than the next structure.


<i>
NaZnMoIr | GGA-PBE | relaxed

The structure in CIF format:
```
data_NaZnMoIr
_space_group_name_H-M_alt 'P 1'
_space_group_IT_number 1
_space_group_name_Hall 'P 1'
_cell_length_a 4.446
_cell_length_b 4.446
_cell_length_c 4.446
_cell_angle_alpha 60.00
_cell_angle_beta 60.00
_cell_angle_gamma 60.00
loop_
_atom_site_label
_atom_site_type_symbol
_atom_site_fract_x
_atom_site_fract_y
_atom_site_fract_z
Na1 Na 0.750 0.750 0.750
Ir1 Ir 0.000 0.000 0.000
Zn1 Zn 0.500 0.500 0.500
Mo1 Mo 0.250 0.250 0.250
```


<ii>
NaZnMoIr | GGA-PBE | relaxed

The structure in CIF format:
```
data_NaZnMoIr
_space_group_name_H-M_alt 'P 1'
_space_group_IT_number 1
_space_group_name_Hall 'P 1'
_cell_length_a 4.408
_cell_length_b 4.408
_cell_length_c 4.408
_cell_angle_alpha 60.00
_cell_angle_beta 60.00
_cell_angle_gamma 60.00
loop_
_atom_site_label
_atom_site_type_symbol
_atom_site_fract_x
_atom_site_fract_y
_atom_site_fract_z
Mo1 Mo 0.000 0.000 0.000
Ir1 Ir 0.250 0.250 0.250
Na1 Na 0.750 0.750 0.750
Zn1 Zn 0.500 0.500 0.500
```


It comes down to <ii>, which is 101 meV/atom more stable than the next structure.


<i>
NpMoIr | GGA-PBE | relaxed

The structure in CIF format:
```
data_NpMoIr
_space_group_name_H-M_alt 'P 1'
_space_group_IT_number 1
_space_group_name_Hall 'P 1'
_cell_length_a 4.372
_cell_length_b 4.372
_cell_length_c 4.372
_cell_angle_alpha 60.00
_cell_angle_beta 60.00
_cell_angle_gamma 60.00
loop_
_atom_site_label
_atom_site_type_symbol
_atom_site_fract_x
_atom_site_fract_y
_atom_site_fract_z
Ir1 Ir 0.500 0.500 0.500
Np1 Np 0.000 0.000 0.000
Mo1 Mo 0.250 0.250 0.250
```


<ii>
NpMoIr | GGA-PBE | relaxed

The structure in CIF format:
```
data_NpMoIr
_space_group_name_H-M_alt 'P 1'
_space_group_IT_number 1
_space_group_name_Hall 'P 1'
_cell_length_a 4.404
_cell_length_b 4.404
_cell_length_c 4.404
_cell_angle_alpha 60.00
_cell_angle_beta 60.00
_cell_angle_gamma 60.00
loop_
_atom_site_label
_atom_site_type_symbol
_atom_site_fract_x
_atom_site_fract_y
_atom_site_fract_z
Ir1 Ir 0.500 0.500 0.500
Np1 Np 0.250 0.250 0.250
Mo1 Mo 0.000 0.000 0.000
```


It comes down to <i>, which is 183 meV/atom more stable than the next structure.


<i>
MoIr2Pd | GGA-PBE | relaxed

The structure in CIF format:
```
data_MoIr2Pd
_space_group_name_H-M_alt 'P 1'
_space_group_IT_number 1
_space_group_name_Hall 'P 1'
_cell_length_a 4.438
_cell_length_b 5.562
_cell_length_c 5.562
_cell_angle_alpha 59.72
_cell_angle_beta 90.00
_cell_angle_gamma 90.00
loop_
_atom_site_label
_atom_site_type_symbol
_atom_site_fract_x
_atom_site_fract_y
_atom_site_fract_z
Pd1 Pd 0.000 0.829 0.334
Pd2 Pd 0.000 0.334 0.829
Mo1 Mo 0.000 0.331 0.331
Mo2 Mo 0.500 0.669 0.669
Ir1 Ir 0.500 0.668 0.164
Ir2 Ir 0.000 0.834 0.834
Ir3 Ir 0.500 0.170 0.170
Ir4 Ir 0.500 0.164 0.668
```


<ii>
MoIr2Pd | GGA-PBE | relaxed

The structure in CIF format:
```
data_MoIr2Pd
_space_group_name_H-M_alt 'P 1'
_space_group_IT_number 1
_space_group_name_Hall 'P 1'
_cell_length_a 4.418
_cell_length_b 4.418
_cell_length_c 4.418
_cell_angle_alpha 60.00
_cell_angle_beta 60.00
_cell_angle_gamma 60.00
loop_
_atom_site_label
_atom_site_type_symbol
_atom_site_fract_x
_atom_site_fract_y
_atom_site_fract_z
Mo1 Mo 0.250 0.250 0.250
Ir1 Ir 0.750 0.750 0.750
Ir2 Ir 0.000 0.000 0.000
Pd1 Pd 0.500 0.500 0.500
```


It comes down to <i>, which is 448 meV/atom more stable than the next structure.


<i>
Mo2IrPd | GGA-PBE | relaxed

The structure in CIF format:
```
data_Mo2IrPd
_space_group_name_H-M_alt 'P 1'
_space_group_IT_number 1
_space_group_name_Hall 'P 1'
_cell_length_a 4.432
_cell_length_b 4.432
_cell_length_c 4.432
_cell_angle_alpha 60.00
_cell_angle_beta 60.00
_cell_angle_gamma 60.00
loop_
_atom_site_label
_atom_site_type_symbol
_atom_site_fract_x
_atom_site_fract_y
_atom_site_fract_z
Mo1 Mo 0.000 0.000 0.000
Mo2 Mo 0.250 0.250 0.250
Ir1 Ir 0.500 0.500 0.500
Pd1 Pd 0.750 0.750 0.750
```


<ii>
Mo2IrPd | GGA-PBE | relaxed

The structure in CIF format:
```
data_Mo2IrPd
_space_group_name_H-M_alt 'P 1'
_space_group_IT_number 1
_space_group_name_Hall 'P 1'
_cell_length_a 2.765
_cell_length_b 4.464
_cell_length_c 4.887
_cell_angle_alpha 90.00
_cell_angle_beta 90.00
_cell_angle_gamma 90.00
loop_
_atom_site_label
_atom_site_type_symbol
_atom_site_fract_x
_atom_site_fract_y
_atom_site_fract_z
Mo1 Mo 0.500 0.500 0.332
Mo2 Mo 0.500 0.000 0.669
Ir1 Ir 0.000 0.000 0.168
Pd1 Pd 0.000 0.500 0.831
```


It comes down to <ii>, which is 303 meV/atom more stable than the next structure.


<i>
MoIrPd2 | GGA-PBE | relaxed

The structure in CIF format:
```
data_MoIrPd2
_space_group_name_H-M_alt 'P 1'
_space_group_IT_number 1
_space_group_name_Hall 'P 1'
_cell_length_a 4.485
_cell_length_b 5.532
_cell_length_c 5.532
_cell_angle_alpha 119.64
_cell_angle_beta 90.00
_cell_angle_gamma 90.00
loop_
_atom_site_label
_atom_site_type_symbol
_atom_site_fract_x
_atom_site_fract_y
_atom_site_fract_z
Pd1 Pd 0.750 0.338 0.166
Pd2 Pd 0.250 0.166 0.338
Pd3 Pd 0.750 0.835 0.165
Pd4 Pd 0.250 0.165 0.835
Ir1 Ir 0.750 0.831 0.655
Ir2 Ir 0.250 0.655 0.831
Mo1 Mo 0.750 0.340 0.669
Mo2 Mo 0.250 0.669 0.340
```


<ii>
MoIrPd2 | GGA-PBE | relaxed

The structure in CIF format:
```
data_MoIrPd2
_space_group_name_H-M_alt 'P 1'
_space_group_IT_number 1
_space_group_name_Hall 'P 1'
_cell_length_a 4.423
_cell_length_b 4.423
_cell_length_c 4.423
_cell_angle_alpha 60.00
_cell_angle_beta 60.00
_cell_angle_gamma 60.00
loop_
_atom_site_label
_atom_site_type_symbol
_atom_site_fract_x
_atom_site_fract_y
_atom_site_fract_z
Mo1 Mo 0.250 0.250 0.250
Pd1 Pd 0.000 0.000 0.000
Pd2 Pd 0.750 0.750 0.750
Ir1 Ir 0.500 0.500 0.500
```


It comes down to <i>, which is 206 meV/atom more stable than the next structure.


<i>
Mo2Ir3Pd3 | GGA-PBE | relaxed

The structure in CIF format:
```
data_Mo2Ir3Pd3
_space_group_name_H-M_alt 'P 1'
_space_group_IT_number 1
_space_group_name_Hall 'P 1'
_cell_length_a 5.511
_cell_length_b 4.473
_cell_length_c 5.546
_cell_angle_alpha 90.00
_cell_angle_beta 119.44
_cell_angle_gamma 90.00
loop_
_atom_site_label
_atom_site_type_symbol
_atom_site_fract_x
_atom_site_fract_y
_atom_site_fract_z
Ir1 Ir 0.831 0.500 0.655
Ir2 Ir 0.171 0.000 0.345
Ir3 Ir 0.335 0.500 0.160
Pd1 Pd 0.832 0.500 0.162
Pd2 Pd 0.169 0.000 0.842
Pd3 Pd 0.664 0.000 0.839
Mo1 Mo 0.328 0.500 0.654
Mo2 Mo 0.670 0.000 0.343
```


<ii>
Mo2Ir3Pd3 | GGA-PBE | relaxed

The structure in CIF format:
```
data_Mo2Ir3Pd3
_space_group_name_H-M_alt 'P 1'
_space_group_IT_number 1
_space_group_name_Hall 'P 1'
_cell_length_a 5.540
_cell_length_b 5.540
_cell_length_c 4.471
_cell_angle_alpha 90.00
_cell_angle_beta 90.00
_cell_angle_gamma 120.00
loop_
_atom_site_label
_atom_site_type_symbol
_atom_site_fract_x
_atom_site_fract_y
_atom_site_fract_z
Ir1 Ir 0.165 0.330 0.500
Ir2 Ir 0.165 0.835 0.500
Ir3 Ir 0.670 0.835 0.500
Mo1 Mo 0.000 0.000 0.000
Mo2 Mo 0.667 0.333 0.500
Pd1 Pd 0.998 0.499 0.000
Pd2 Pd 0.501 0.002 0.000
Pd3 Pd 0.501 0.499 0.000
```


It comes down to <ii>, which is 30 meV/atom more stable than the next structure.